1.
A plane-wave DFT calculation with PBE was carried out for a geometry-optimized Tb5Pm12Ho2 structure.

```
data_Tb5Pm12Ho2
_cell_length_a 9.3505
_cell_length_b 9.3505
_cell_length_c 8.0115
_cell_angle_alpha 92.05
_cell_angle_beta 92.05
_cell_angle_gamma 67.71
_symmetry_space_group_name_H-M 'P 1'
_symmetry_Int_Tables_number 1
loop_
_symmetry_equiv_pos_as_xyz
'x,y,z'
loop_
_atom_site_label
_atom_site_type_symbol
_atom_site_fract_x
_atom_site_fract_y
_atom_site_fract_z
Tb1 Tb 0.0000 0.0000 0.0000
Tb2 Tb 0.2442 0.2442 0.9859
Tb3 Tb 0.3474 0.3474 0.4131
Tb4 Tb 0.6526 0.6526 0.5869
Tb5 Tb 0.7558 0.7558 0.0141
Pm1 Pm 0.0399 0.5816 0.7061
Pm2 Pm 0.1418 0.1418 0.6134
Pm3 Pm 0.1681 0.6200 0.1124
Pm4 Pm 0.3800 0.8319 0.8876
Pm5 Pm 0.4184 0.9601 0.2939
Pm6 Pm 0.4479 0.4479 0.7901
Pm7 Pm 0.5521 0.5521 0.2099
Pm8 Pm 0.5816 0.0399 0.7061
Pm9 Pm 0.6200 0.1681 0.1124
Pm10 Pm 0.8319 0.3800 0.8876
Pm11 Pm 0.8582 0.8582 0.3866
Pm12 Pm 0.9601 0.4184 0.2939
Ho1 Ho 0.2563 0.7437 0.5000
Ho2 Ho 0.7437 0.2563 0.5000
```

## Properties
* N(E_F): 1.389 states/eV/atom
* magnetic moment: 0.00 μB per cell
* DFT total energy: -4.571 eV per atom
* formation energy: 0.13 eV/atom
* E above lowest polymorph: 10 meV/atom
* crystal system: monoclinic



2.
A plane-wave DFT calculation with PBE was carried out for a geometry-optimized Sr2CuO3 structure.

```
data_Sr2CuO3
_cell_length_a 6.8809
_cell_length_b 6.8809
_cell_length_c 6.8809
_cell_angle_alpha 150.12
_cell_angle_beta 146.44
_cell_angle_gamma 45.54
_symmetry_space_group_name_H-M 'P 1'
_symmetry_Int_Tables_number 1
loop_
_symmetry_equiv_pos_as_xyz
'x,y,z'
loop_
_atom_site_label
_atom_site_type_symbol
_atom_site_fract_x
_atom_site_fract_y
_atom_site_fract_z
Sr1 Sr 0.1468 0.1468 0.0000
Sr2 Sr 0.8532 0.8532 0.0000
Cu1 Cu 0.5000 0.5000 0.0000
O1 O 0.0000 0.5000 0.5000
O2 O 0.3453 0.3453 0.0000
O3 O 0.6547 0.6547 0.0000
```

## Properties
* N(E_F): 0.125 states/eV/atom
* magnetic moment: 0.00 μB per cell
* DFT total energy: -5.811 eV per atom
* E above lowest polymorph: 0 meV/atom
* crystal system: orthorhombic
* raw formation energy: -1209 kJ/mol of formula units



3.
A plane-wave DFT calculation with PBE was carried out for a geometry-optimized SrPSe structure.

```
data_SrPSe
_cell_length_a 4.3086
_cell_length_b 4.3195
_cell_length_c 9.5665
_cell_angle_alpha 80.80
_cell_angle_beta 85.33
_cell_angle_gamma 89.94
_symmetry_space_group_name_H-M 'P 1'
_symmetry_Int_Tables_number 1
loop_
_symmetry_equiv_pos_as_xyz
'x,y,z'
loop_
_atom_site_label
_atom_site_type_symbol
_atom_site_fract_x
_atom_site_fract_y
_atom_site_fract_z
Sr1 Sr 0.0000 0.0000 0.0000
Sr2 Sr 0.4775 0.3106 0.4034
P1 P 0.6921 0.5427 0.7081
P2 P 0.9725 0.1740 0.6739
Se1 Se 0.5109 0.5114 0.9568
Se2 Se 0.9943 0.8408 0.3179
```

## Properties
* N(E_F): 0.184 states/eV/atom
* magnetic moment: 0.00 μB per cell
* DFT total energy: -4.601 eV per atom
* crystal system: triclinic
* raw formation energy: -311 kJ/mol of formula units



4.
A plane-wave DFT calculation with PBE was carried out for a geometry-optimized Nd5Ga5Rh2 structure.

```
data_Nd5Ga5Rh2
_cell_length_a 7.9720
_cell_length_b 7.9720
_cell_length_c 10.8973
_cell_angle_alpha 128.39
_cell_angle_beta 128.39
_cell_angle_gamma 32.85
_symmetry_space_group_name_H-M 'P 1'
_symmetry_Int_Tables_number 1
loop_
_symmetry_equiv_pos_as_xyz
'x,y,z'
loop_
_atom_site_label
_atom_site_type_symbol
_atom_site_fract_x
_atom_site_fract_y
_atom_site_fract_z
Nd1 Nd 0.0000 0.0000 0.0000
Nd2 Nd 0.1195 0.1195 0.4269
Nd3 Nd 0.1940 0.1940 0.8316
Nd4 Nd 0.8060 0.8060 0.1684
Nd5 Nd 0.8805 0.8805 0.5731
Ga1 Ga 0.2584 0.2584 0.3063
Ga2 Ga 0.4504 0.4504 0.1686
Ga3 Ga 0.5000 0.5000 0.5000
Ga4 Ga 0.5496 0.5496 0.8314
Ga5 Ga 0.7416 0.7416 0.6937
Rh1 Rh 0.3439 0.3439 0.7388
Rh2 Rh 0.6561 0.6561 0.2612
```

## Properties
* N(E_F): 0.825 states/eV/atom
* magnetic moment: 0.00 μB per cell
* DFT total energy: -5.103 eV per atom
* formation energy: -0.63 eV/atom
* crystal system: monoclinic



5.
A plane-wave DFT calculation with PBE was carried out for a geometry-optimized Na2Al2GaPt5 structure.

```
data_Na2Al2GaPt5
_cell_length_a 9.6437
_cell_length_b 9.6437
_cell_length_c 3.5873
_cell_angle_alpha 90.00
_cell_angle_beta 90.00
_cell_angle_gamma 90.00
_symmetry_space_group_name_H-M 'P 1'
_symmetry_Int_Tables_number 1
loop_
_symmetry_equiv_pos_as_xyz
'x,y,z'
loop_
_atom_site_label
_atom_site_type_symbol
_atom_site_fract_x
_atom_site_fract_y
_atom_site_fract_z
Na1 Na 0.1726 0.3273 0.0000
Na2 Na 0.3273 0.8274 0.0000
Na3 Na 0.6726 0.1726 0.0000
Na4 Na 0.8274 0.6726 0.0000
Al1 Al 0.1282 0.6282 0.0000
Al2 Al 0.3718 0.1282 0.0000
Al3 Al 0.6282 0.8718 0.0000
Al4 Al 0.8718 0.3718 0.0000
Ga1 Ga 0.0000 0.0000 0.0000
Ga2 Ga 0.5000 0.5000 0.0000
Pt1 Pt 0.0000 0.5000 0.5000
Pt2 Pt 0.0670 0.7993 0.5000
Pt3 Pt 0.2007 0.0670 0.5000
Pt4 Pt 0.2993 0.5670 0.5000
Pt5 Pt 0.4330 0.2993 0.5000
Pt6 Pt 0.5000 0.0000 0.5000
Pt7 Pt 0.5670 0.7007 0.5000
Pt8 Pt 0.7007 0.4330 0.5000
Pt9 Pt 0.7993 0.9330 0.5000
Pt10 Pt 0.9330 0.2007 0.5000
```

## Properties
* N(E_F): 0.283 states/eV/atom
* magnetic moment: 0.00 μB per cell
* DFT total energy: -4.938 eV per atom
* formation energy: -0.60 eV/atom
* crystal system: tetragonal



6.
A plane-wave DFT calculation with PBE was carried out for a geometry-optimized NdPa2TlO8 structure.

```
data_NdPa2TlO8
_cell_length_a 6.6114
_cell_length_b 6.6114
_cell_length_c 6.4403
_cell_angle_alpha 90.00
_cell_angle_beta 90.00
_cell_angle_gamma 120.00
_symmetry_space_group_name_H-M 'P 1'
_symmetry_Int_Tables_number 1
loop_
_symmetry_equiv_pos_as_xyz
'x,y,z'
loop_
_atom_site_label
_atom_site_type_symbol
_atom_site_fract_x
_atom_site_fract_y
_atom_site_fract_z
Nd1 Nd 0.0000 0.0000 0.0000
Pa1 Pa 0.3333 0.6667 0.2192
Pa2 Pa 0.6667 0.3333 0.7808
Tl1 Tl 0.0000 0.0000 0.5000
O1 O 0.1504 0.3007 0.2640
O2 O 0.1504 0.8496 0.2640
O3 O 0.3007 0.1504 0.7360
O4 O 0.3333 0.6667 0.9211
O5 O 0.6667 0.3333 0.0789
O6 O 0.6993 0.8496 0.2640
O7 O 0.8496 0.1504 0.7360
O8 O 0.8496 0.6993 0.7360
```

## Properties
* N(E_F): 0.000 states/eV/atom
* magnetic moment: 0.00 μB per cell
* DFT total energy: -8.028 eV per atom
* crystal system: trigonal
* raw formation energy: -2948 kJ/mol of formula units